Computed, not measured: crystalline La5Th3P8 at its relaxed geometry at the PBE level of DFT.

Calculated values
The space-group type is R-3m, No. 166. The energy of formation comes out at -1.594 eV per atom.

a b c (Å): 8.4456 8.4456 8.4456
angles (deg): 59.92 59.92 59.92
Element x y z (fractional)
La 0.0000 0.0000 0.0000
La 0.0000 0.5000 0.5000
La 0.5000 0.0000 0.5000
La 0.5000 0.5000 0.0000
La 0.5000 0.5000 0.5000
Th 0.0000 0.0000 0.5000
Th 0.0000 0.5000 0.0000
Th 0.5000 0.0000 0.0000
P 0.2423 0.7500 0.7500
P 0.2466 0.2466 0.2466
P 0.2500 0.2500 0.7577
P 0.2500 0.7577 0.2500
P 0.7500 0.2423 0.7500
P 0.7500 0.7500 0.2423
P 0.7534 0.7534 0.7534
P 0.7577 0.2500 0.2500


Computed, not measured: crystalline La2ThP3 at its relaxed geometry at the PBE level of DFT.

Calculated values
The space-group type is Fddd, No. 70. The energy of formation comes out at -1.598 eV per atom.

a b c (Å): 14.0199 13.3681 7.3171
angles (deg): 79.49 69.64 30.87
Element x y z (fractional)
La 0.0423 0.0423 0.2077
La 0.1242 0.1242 0.6258
La 0.2077 0.2077 0.0423
La 0.3742 0.3742 0.8758
La 0.6258 0.6258 0.1242
La 0.7923 0.7923 0.9577
La 0.8758 0.8758 0.3742
La 0.9577 0.9577 0.7923
Th 0.2915 0.2915 0.4585
Th 0.4585 0.4585 0.2915
Th 0.5415 0.5415 0.7085
Th 0.7085 0.7085 0.5415
P 0.0402 0.5401 0.2182
P 0.1336 0.6164 0.6164
P 0.2182 0.7016 0.0402
P 0.2984 0.7818 0.4599
P 0.3836 0.8664 0.8664
P 0.4599 0.9598 0.2984
P 0.5401 0.0402 0.7016
P 0.6164 0.1336 0.1336
P 0.7016 0.2182 0.5401
P 0.7818 0.2984 0.9598
P 0.8664 0.3836 0.3836
P 0.9598 0.4599 0.7818


Computed, not measured: crystalline LaTh4P6 at its relaxed geometry at the PBE level of DFT.

Calculated values
The space-group type is R-3c, No. 167. The energy of formation comes out at -1.213 eV per atom.

a b c (Å): 8.1423 8.1423 8.1423
angles (deg): 89.64 89.64 89.64
Element x y z (fractional)
La 0.0000 0.0000 0.0000
La 0.5000 0.5000 0.5000
Th 0.1335 0.7500 0.3665
Th 0.2500 0.2500 0.2500
Th 0.2500 0.6335 0.8665
Th 0.3665 0.1335 0.7500
Th 0.6335 0.8665 0.2500
Th 0.7500 0.3665 0.1335
Th 0.7500 0.7500 0.7500
Th 0.8665 0.2500 0.6335
P 0.0648 0.9126 0.6716
P 0.0874 0.3284 0.9352
P 0.1716 0.4126 0.5648
P 0.3284 0.9352 0.0874
P 0.4126 0.5648 0.1716
P 0.4352 0.8284 0.5874
P 0.5648 0.1716 0.4126
P 0.5874 0.4352 0.8284
P 0.6716 0.0648 0.9126
P 0.8284 0.5874 0.4352
P 0.9126 0.6716 0.0648
P 0.9352 0.0874 0.3284


Computed, not measured: crystalline La4ThP5 at its relaxed geometry at the PBE level of DFT.

Calculated values
The space-group type is I4/m, No. 87. The energy of formation comes out at -1.595 eV per atom.

a b c (Å): 7.3511 7.3511 7.3511
angles (deg): 99.58 99.58 131.84
Element x y z (fractional)
La 0.0990 0.3007 0.3997
La 0.3007 0.9010 0.2017
La 0.6993 0.0990 0.7983
La 0.9010 0.6993 0.6003
Th 0.5000 0.5000 0.0000
P 0.0000 0.0000 0.0000
P 0.2071 0.5974 0.8044
P 0.4026 0.2071 0.6097
P 0.5974 0.7929 0.3903
P 0.7929 0.4026 0.1956


Computed, not measured: crystalline La3ThP4 at its relaxed geometry at the PBE level of DFT.

Calculated values
The space-group type is Cmmm, No. 65. The energy of formation comes out at -1.597 eV per atom.

a b c (Å): 7.3372 7.3372 4.2340
angles (deg): 90.00 90.00 109.40
Element x y z (fractional)
La 0.0000 0.0000 0.0000
La 0.0000 0.5000 0.5000
La 0.5000 0.0000 0.5000
Th 0.5000 0.5000 0.0000
P 0.2545 0.7455 0.0000
P 0.2576 0.2576 0.5000
P 0.7424 0.7424 0.5000
P 0.7455 0.2545 0.0000


Computed, not measured: crystalline LaTh2P3 at its relaxed geometry at the PBE level of DFT.

Calculated values
The space-group type is Immm, No. 71. The energy of formation comes out at -1.573 eV per atom.

a b c (Å): 7.2536 7.2536 7.2536
angles (deg): 146.57 131.98 59.77
Element x y z (fractional)
La 0.0000 0.0000 0.0000
Th 0.3347 0.3347 0.0000
Th 0.6653 0.6653 0.0000
P 0.1717 0.6717 0.5000
P 0.5000 0.0000 0.5000
P 0.8283 0.3283 0.5000


Computed, not measured: crystalline La3TmTh2P6 at its relaxed geometry at the PBE level of DFT.

Calculated values
The space-group type is C2/m, No. 12. The energy of formation comes out at -1.589 eV per atom.

a b c (Å): 7.2189 7.2189 7.2566
angles (deg): 99.53 99.53 120.04
Element x y z (fractional)
La 0.0000 0.0000 0.0000
La 0.3329 0.6671 0.0000
La 0.6671 0.3329 0.0000
Tm 0.5000 0.5000 0.5000
Th 0.1664 0.8336 0.5000
Th 0.8336 0.1664 0.5000
P 0.0924 0.4212 0.2633
P 0.2506 0.2506 0.7379
P 0.4212 0.0924 0.2633
P 0.5788 0.9076 0.7367
P 0.7494 0.7494 0.2621
P 0.9076 0.5788 0.7367


Computed, not measured: crystalline LaTm2ThP4 at its relaxed geometry at the PBE level of DFT.

Calculated values
The space-group type is P2/m, No. 10. The energy of formation comes out at -1.588 eV per atom.

a b c (Å): 7.0261 4.0845 7.0802
angles (deg): 90.00 109.53 90.00
Element x y z (fractional)
La 0.0000 0.0000 0.0000
Tm 0.5000 0.0000 0.5000
Tm 0.5000 0.5000 0.0000
Th 0.0000 0.5000 0.5000
P 0.2627 0.0000 0.7504
P 0.2646 0.5000 0.2594
P 0.7354 0.5000 0.7406
P 0.7373 0.0000 0.2496